Record 1
A geometry-optimized MgMnAl4 structure. Source: Alexandria, functional GGA-PBEsol.

Lattice parameters (Å, degrees): 5.203 5.203 5.203 60.00 60.00 60.00
Last column: magnetic moment on the atom in μB.
Fractional positions:
Al: 0.875 0.375 0.375  -0.04
Al: 0.375 0.375 0.375  -0.04
Al: 0.375 0.375 0.875  -0.04
Al: 0.375 0.875 0.375  -0.04
Mg: 0.750 0.750 0.750  -0.02
Mn: 0.000 0.000 0.000  3.13

Computed properties:
- raw total energy (eV for the cell shown) = -26.8
- size of the total moment (μB per atom) = 0.43
- SG = F-43m (216)
- ΔH_f (0 K) (eV per atom) = 0.1732

Record 2
A geometry-optimized ScRhO3 structure. Source: Alexandria, functional GGA-PBEsol.

Lattice parameters (Å, degrees): 5.018 5.482 7.420 90.00 90.00 90.00
Fractional positions:
Sc: 0.962 0.086 0.250
Sc: 0.462 0.414 0.750
Sc: 0.538 0.586 0.250
Sc: 0.038 0.914 0.750
Rh: 0.000 0.500 0.000
Rh: 0.500 0.000 0.000
Rh: 0.500 0.000 0.500
Rh: 0.000 0.500 0.500
O: 0.674 0.314 0.424
O: 0.174 0.186 0.576
O: 0.826 0.814 0.076
O: 0.326 0.686 0.924
O: 0.326 0.686 0.576
O: 0.826 0.814 0.424
O: 0.174 0.186 0.924
O: 0.674 0.314 0.076
O: 0.155 0.432 0.250
O: 0.655 0.068 0.750
O: 0.345 0.932 0.250
O: 0.845 0.568 0.750

Computed properties:
- raw total energy (eV for the cell shown) = -164.9
- size of the total moment (μB per atom) = 0.00
- SG = Pnma (62)

Record 3
A geometry-optimized Na6FeCl8 structure. Source: Alexandria, functional GGA-PBEsol.

Lattice parameters (Å, degrees): 7.843 7.843 7.843 60.00 60.00 60.00
Last column: magnetic moment on the atom in μB.
Fractional positions:
Na: 0.500 0.000 0.000  0.00
Na: 0.000 0.500 0.500  0.00
Na: 0.500 0.000 0.500  0.00
Na: 0.000 0.500 0.000  0.00
Na: 0.500 0.500 0.000  0.00
Na: 0.000 0.000 0.500  0.00
Fe: 0.000 0.000 0.000  3.49
Cl: 0.250 0.250 0.250  0.00
Cl: 0.750 0.750 0.750  0.00
Cl: 0.777 0.223 0.223  0.05
Cl: 0.223 0.777 0.777  0.05
Cl: 0.777 0.223 0.777  0.05
Cl: 0.223 0.777 0.223  0.05
Cl: 0.777 0.777 0.223  0.05
Cl: 0.223 0.223 0.777  0.05

Computed properties:
- raw total energy (eV for the cell shown) = -56.7
- size of the total moment (μB per atom) = 0.27
- SG = Fm-3m (225)

Record 4
A geometry-optimized Na2LaSn2 structure. Source: Alexandria, functional GGA-PBEsol.

Lattice parameters (Å, degrees): 4.493 4.493 7.819 106.70 106.70 90.00
Fractional positions:
Na: 0.250 0.750 0.500
Na: 0.750 0.250 0.500
Sn: 0.403 0.403 0.807
Sn: 0.597 0.597 0.193
La: 0.000 0.000 0.000

Computed properties:
- raw total energy (eV for the cell shown) = -18.5
- size of the total moment (μB per atom) = 0.00
- SG = I4/mmm (139)
- ΔH_f (0 K) (eV per atom) = -0.3769

Record 5
A geometry-optimized NiIr2Os structure. Source: Alexandria, functional GGA-PBEsol.

Lattice parameters (Å, degrees): 2.679 2.679 8.696 81.14 81.14 60.00
Fractional positions:
Ni: 0.501 0.501 0.498
Ir: 0.999 0.999 0.003
Ir: 0.753 0.753 0.740
Os: 0.247 0.247 0.259

Computed properties:
- raw total energy (eV for the cell shown) = -37.7
- energy above the lowest structure with this stoichiometry (eV/atom) = 0.076
- size of the total moment (μB per atom) = 0.00
- SG = R3m (160)
- ΔH_f (0 K) (eV per atom) = 0.0747

Record 6
A geometry-optimized MgSi2P structure. Source: Alexandria, functional GGA-PBEsol.

Lattice parameters (Å, degrees): 3.216 4.808 4.842 109.57 90.00 109.54
Fractional positions:
P: 0.276 0.553 0.813
Si: 0.989 0.978 0.014
Si: 0.730 0.461 0.153
Mg: 0.504 0.008 0.520

Computed properties:
- raw total energy (eV for the cell shown) = -18.6
- energy above the lowest structure with this stoichiometry (eV/atom) = 0.000
- size of the total moment (μB per atom) = 0.00
- SG = Cm (8)

Record 7
A geometry-optimized Ba2LiFe structure. Source: Alexandria, functional GGA-PBEsol.

Lattice parameters (Å, degrees): 3.921 5.685 5.686 90.00 90.00 90.00
Last column: magnetic moment on the atom in μB.
Fractional positions:
Ba: 0.000 0.000 0.000  -0.12
Ba: 0.000 0.500 0.500  -0.12
Fe: 0.500 0.500 0.000  2.86
Li: 0.500 0.000 0.500  -0.01

Computed properties:
- raw total energy (eV for the cell shown) = -13.0
- energy above the lowest structure with this stoichiometry (eV/atom) = 0.005
- size of the total moment (μB per atom) = 0.53
- SG = P4/mmm (123)
- ΔH_f (0 K) (eV per atom) = 0.5525

Record 8
A geometry-optimized AsO2 structure. Source: Alexandria, functional GGA-PBEsol.

Lattice parameters (Å, degrees): 5.308 7.188 8.580 90.00 90.00 90.00
Fractional positions:
As: 0.250 0.713 0.772
As: 0.750 0.287 0.228
As: 0.750 0.213 0.728
As: 0.250 0.787 0.272
As: 0.250 0.338 0.571
As: 0.750 0.662 0.429
As: 0.750 0.838 0.929
As: 0.250 0.162 0.071
O: 0.250 0.451 0.402
O: 0.750 0.549 0.598
O: 0.750 0.951 0.098
O: 0.250 0.049 0.902
O: 0.250 0.455 0.748
O: 0.750 0.545 0.252
O: 0.750 0.955 0.752
O: 0.250 0.045 0.248
O: 0.997 0.316 0.081
O: 0.497 0.684 0.919
O: 0.003 0.816 0.419
O: 0.503 0.184 0.581
O: 0.003 0.684 0.919
O: 0.503 0.316 0.081
O: 0.997 0.184 0.581
O: 0.497 0.816 0.419

Computed properties:
- raw total energy (eV for the cell shown) = -151.6
- size of the total moment (μB per atom) = 0.00
- SG = Pnma (62)